Here is Ba4SrLi2 after structural relaxation from the Alexandria database. Energies are from PBE.

a b c (Å): 4.476 6.664 12.492
angles (deg): 105.47 90.00 90.00
Fractional coordinates of all 7 atoms:
Li: 0.500 0.439 0.878
Li: 0.500 0.561 0.122
Ba: 0.000 0.309 0.618
Ba: 0.500 0.150 0.300
Ba: 0.000 0.691 0.382
Ba: 0.500 0.850 0.700
Sr: 0.000 0.000 0.000

Output
* spin magnetization: 0.00 μB/f.u.
* Fermi-level density of states: 1.330 states/eV per atom
* E_tot: -1.770 eV per atom
* energy of formation from the pure elements: 0.809 eV per formula unit


Here is Ba4Sr3Li after structural relaxation from the Alexandria database. Energies are from PBE.

a b c (Å): 4.382 4.382 23.141
angles (deg): 90.00 90.00 90.00
Fractional coordinates of all 8 atoms:
Li: 0.500 0.500 0.000
Sr: 0.500 0.500 0.229
Sr: 0.500 0.500 0.500
Sr: 0.500 0.500 0.771
Ba: 0.000 0.000 0.365
Ba: 0.000 0.000 0.635
Ba: 0.000 0.000 0.907
Ba: 0.000 0.000 0.093

Output
* spin magnetization: 0.00 μB/f.u.
* Fermi-level density of states: 1.275 states/eV per atom
* E_tot: -1.812 eV per atom
* energy of formation from the pure elements: 0.151 eV per formula unit


Here is BaSrLi2 after structural relaxation from the Alexandria database. Energies are from PBE.

a b c (Å): 6.112 7.475 7.475
angles (deg): 109.31 90.00 90.00
Fractional coordinates of all 8 atoms:
Ba: 0.750 0.122 0.878
Ba: 0.250 0.878 0.122
Li: 0.750 0.612 0.866
Li: 0.750 0.134 0.388
Li: 0.250 0.388 0.134
Li: 0.250 0.866 0.612
Sr: 0.250 0.374 0.626
Sr: 0.750 0.626 0.374

Output
* spin magnetization: 0.00 μB/f.u.
* Fermi-level density of states: 1.079 states/eV per atom
* E_tot: -1.822 eV per atom
* energy of formation from the pure elements: 0.145 eV per formula unit


Here is BaSrLi2 after structural relaxation from the Alexandria database. Energies are from PBE.

a b c (Å): 4.133 4.133 11.748
angles (deg): 79.87 79.87 60.00
Fractional coordinates of all 4 atoms:
Li: 0.252 0.252 0.245
Li: 0.082 0.082 0.755
Ba: 0.501 0.501 0.498
Sr: 0.666 0.666 0.002

Output
* spin magnetization: 0.00 μB/f.u.
* Fermi-level density of states: 0.885 states/eV per atom
* E_tot: -1.689 eV per atom
* energy of formation from the pure elements: 0.677 eV per formula unit


Here is Ba3Sr8Li2 after structural relaxation from the Alexandria database. Energies are from PBE.

a b c (Å): 6.570 8.429 12.254
angles (deg): 81.21 90.00 90.00
Fractional coordinates of all 13 atoms:
Sr: 0.000 0.786 0.252
Sr: 0.500 0.478 0.820
Sr: 0.000 0.705 0.582
Sr: 0.500 0.522 0.180
Sr: 0.500 0.952 0.668
Sr: 0.000 0.295 0.418
Sr: 0.500 0.048 0.332
Sr: 0.000 0.214 0.748
Ba: 0.000 0.263 0.081
Ba: 0.000 0.737 0.919
Ba: 0.500 0.000 0.000
Li: 0.500 0.653 0.446
Li: 0.500 0.347 0.554

Output
* spin magnetization: 0.00 μB/f.u.
* Fermi-level density of states: 1.105 states/eV per atom
* E_tot: -1.728 eV per atom
* energy of formation from the pure elements: 0.585 eV per formula unit


Here is BaSrLi after structural relaxation from the Alexandria database. Energies are from PBE.

a b c (Å): 6.288 6.288 4.272
angles (deg): 90.00 90.00 120.00
Fractional coordinates of all 3 atoms:
Ba: 0.000 0.000 0.027
Li: 0.667 0.333 0.403
Sr: 0.333 0.667 0.569

Output
* spin magnetization: 0.00 μB/f.u.
* Fermi-level density of states: 1.261 states/eV per atom
* E_tot: -1.724 eV per atom
* energy of formation from the pure elements: 0.345 eV per formula unit